Crystalline TcNiOs2 at its relaxed geometry, computed with PBEsol.

a b c (Å): 4.2268 4.2268 4.2268
angles (deg): 60.00 60.00 60.00
With the nearest neighbours (Å) after each atom.
Element x y z (fractional)
Tc 0.0000 0.0000 0.0000  8 Os 2.59
Ni 0.5000 0.5000 0.5000  8 Os 2.59
Os 0.2500 0.2500 0.2500  4 Tc 2.59, 4 Ni 2.59
Os 0.7500 0.7500 0.7500  4 Tc 2.59, 4 Ni 2.59

- ΔE_f (eV per atom) = 0.416
- space-group type = No. 225
- polymorph energy (0 for the lowest one) (meV/atom) = 323.8
- size of the total moment (μB per cell) = 0.0